Entry 1:
Material: LiCr2Co
Method: DFT, PBE-GGA
State: relaxed

The energy above the lowest structure with this stoichiometry is 126 meV per atom. The calculation puts the formation energy at 0.3376 eV per atom.

The structure belongs to space group Cmmm (No. 65); the cell edges are 2.816, 3.852 and 8.757 Å and the angles 90.00°, 90.00° and 90.00°. The inequivalent atoms are Li at (0.000, 0.000, 0.000), Cr at (0.000, 0.500, 0.267) and Co at (0.000, 0.000, 0.500).

Entry 2:
Material: LiCrCo2
Method: DFT, PBE-GGA
State: relaxed

The energy above the lowest structure with this stoichiometry is 122 meV per atom. The calculation puts the formation energy at 0.2839 eV per atom.

The structure belongs to space group Pmm2 (No. 25); the cell edges are 2.436, 3.773 and 4.679 Å and the angles 90.00°, 90.00° and 90.00°. The inequivalent atoms are Li at (0.000, 0.000, 0.000), Cr at (0.500, 0.500, 0.721), Co at (0.000, 0.000, 0.496) and Co at (0.500, 0.500, 0.204).

Entry 3:
Material: LiCrCo2
Method: DFT, PBE-GGA
State: relaxed

The energy above the lowest structure with this stoichiometry is 97 meV per atom. The calculation puts the formation energy at 0.2593 eV per atom.

The structure belongs to space group Pm (No. 6); the cell edges are 2.376, 4.075 and 4.614 Å and the angles 90.00°, 99.43° and 90.00°. The inequivalent atoms are Li at (0.000, 0.000, 0.000), Cr at (0.229, 0.500, 0.715), Co at (0.475, 0.000, 0.499) and Co at (0.726, 0.500, 0.213).

Entry 4:
Material: LiCrCo2
Method: DFT, PBE-GGA
State: relaxed

The energy above the lowest structure with this stoichiometry is 36 meV per atom. The calculation puts the formation energy at 0.1975 eV per atom.

The structure belongs to space group P4/mmm (No. 123); the cell edges are 2.621, 2.621 and 6.507 Å and the angles 90.00°, 90.00° and 90.00°. The inequivalent atoms are Li at (0.000, 0.000, 0.000), Cr at (0.000, 0.000, 0.500) and Co at (0.500, 0.500, 0.266).

Entry 5:
Material: LiCr2Co
Method: DFT, PBE-GGA
State: relaxed

The energy above the lowest structure with this stoichiometry is 120 meV per atom. The calculation puts the formation energy at 0.3315 eV per atom.

The structure belongs to space group C2/m (No. 12); the cell edges are 4.717, 8.303 and 2.372 Å and the angles 90.00°, 104.78° and 90.00°. The inequivalent atoms are Li at (0.000, 0.000, 0.000), Cr at (0.250, 0.250, 0.500) and Co at (0.000, 0.500, 0.000).

Entry 6:
Material: LiCr4Co
Method: DFT, PBE-GGA
State: relaxed

The calculation puts the formation energy at 0.4229 eV per atom.

The structure belongs to space group F-43m (No. 216); the cell edges are 6.626, 6.626 and 6.626 Å and the angles 90.00°, 90.00° and 90.00°. The inequivalent atoms are Li at (0.000, 0.000, 0.000), Cr at (0.126, 0.126, 0.626) and Co at (0.250, 0.250, 0.250).

Entry 7:
Material: LiCr2Co
Method: DFT, PBE-GGA
State: relaxed

The energy above the lowest structure with this stoichiometry is 136 meV per atom. The calculation puts the formation energy at 0.3473 eV per atom.

The structure belongs to space group Imm2 (No. 44); the cell edges are 2.753, 4.216 and 7.866 Å and the angles 90.00°, 90.00° and 90.00°. The inequivalent atoms are Li at (0.000, 0.000, 0.000), Cr at (0.000, 0.000, 0.508), Cr at (0.000, 0.500, 0.225) and Co at (0.000, 0.500, 0.758).

Entry 8:
Material: LiCr3Co
Method: DFT, PBE-GGA
State: relaxed

The energy above the lowest structure with this stoichiometry is 0 meV per atom. The calculation puts the formation energy at 1.1123 eV per atom.

The structure belongs to space group Pm-3m (No. 221); the cell edges are 4.518, 4.518 and 4.518 Å and the angles 90.00°, 90.00° and 90.00°. The inequivalent atoms are Li at (0.000, 0.000, 0.000), Cr at (0.000, 0.500, 0.500) and Co at (0.500, 0.500, 0.500).

Entry 9:
Material: LiCrCo2
Method: DFT, PBE-GGA
State: relaxed

The energy above the lowest structure with this stoichiometry is 122 meV per atom. The calculation puts the formation energy at 0.2842 eV per atom.

The structure belongs to space group C2/m (No. 12); the cell edges are 5.034, 7.824 and 2.375 Å and the angles 90.00°, 106.58° and 90.00°. The inequivalent atoms are Li at (0.000, 0.000, 0.000), Cr at (0.000, 0.500, 0.000) and Co at (0.250, 0.250, 0.500).

Entry 10:
Material: LiCrCoN
Method: DFT, PBE-GGA
State: relaxed

The energy above the lowest structure with this stoichiometry is 0 meV per atom. For the uncorrected formation energy, the calculation gives -0.229 eV/atom.

The structure belongs to space group P3m1 (No. 156); the cell edges are 2.7007, 2.7007 and 6.4863 Å and the angles 90.00°, 90.00° and 120.00°. The inequivalent atoms are Li at (0.0000, 0.0000, 0.0000), Cr at (0.6667, 0.3333, 0.6451), Co at (0.3333, 0.6667, 0.3524) and N at (0.3333, 0.6667, 0.8058).

Entry 11:
Material: LiCrCoN
Method: DFT, PBE-GGA
State: relaxed

The energy above the lowest structure with this stoichiometry is 128 meV per atom. For the uncorrected formation energy, the calculation gives -0.101 eV/atom.

The structure belongs to space group Amm2 (No. 38); the cell edges are 2.548, 2.567 and 12.612 Å and the angles 90.00°, 90.00° and 90.00°. The inequivalent atoms are Li at (0.000, 0.000, 0.000), Cr at (0.000, 0.000, 0.308), Co at (0.500, 0.000, 0.664) and N at (0.500, 0.000, 0.868).

Entry 12:
Material: LiCrCoN
Method: DFT, PBE-GGA
State: relaxed

The energy above the lowest structure with this stoichiometry is 105 meV per atom. For the uncorrected formation energy, the calculation gives -0.124 eV/atom.

The structure belongs to space group Amm2 (No. 38); the cell edges are 2.561, 3.178 and 9.349 Å and the angles 90.00°, 90.00° and 90.00°. The inequivalent atoms are Li at (0.000, 0.000, 0.000), Cr at (0.000, 0.000, 0.298), Co at (0.500, 0.000, 0.655) and N at (0.500, 0.000, 0.448).